VASP calculation (PBE) on a relaxed Lu2SnB crystal.

Results
**Space-group type**: P6_3/mmc
**E_tot**: -5.223 eV per atom

Lattice parameters (Å, degrees): 3.575 3.575 16.090 90.00 90.00 120.00
Fractional positions:
B 0.000 0.000 0.000
B 0.000 0.000 0.500
Lu 0.333 0.667 0.092
Lu 0.333 0.667 0.408
Lu 0.667 0.333 0.592
Lu 0.667 0.333 0.908
Sn 0.667 0.333 0.250
Sn 0.333 0.667 0.750

---

VASP calculation (PBE) on a relaxed LuMgCu crystal.

Results
**Space-group type**: F-43m
**E_tot**: -2.686 eV per atom

Lattice parameters (Å, degrees): 4.713 4.713 4.713 60.00 60.00 60.00
Fractional positions:
Cu 0.500 0.500 0.500
Lu 0.250 0.250 0.250
Mg 0.000 0.000 0.000

---

VASP calculation (PBE) on a relaxed TaAs2O crystal.

Results
**Space-group type**: P4/nmm
**E_tot**: -6.653 eV per atom

Lattice parameters (Å, degrees): 3.908 3.908 8.677 90.00 90.00 90.00
Fractional positions:
As 0.000 0.500 0.113
As 0.500 0.000 0.291
As 0.000 0.500 0.709
As 0.500 0.000 0.887
O 0.000 0.000 0.000
O 0.500 0.500 0.000
Ta 0.000 0.000 0.500
Ta 0.500 0.500 0.500

---

VASP calculation (PBE) on a relaxed LiUGa crystal.

Results
**Space-group type**: F-43m
**Energy above the most stable polymorph in this dataset**: 1.250 eV per formula unit

Lattice parameters (Å, degrees): 4.725 4.725 4.725 60.00 60.00 60.00
Fractional positions:
Ga 0.750 0.750 0.750
Li 0.250 0.250 0.250
U 0.000 0.000 0.000

---

VASP calculation (PBE) on a relaxed AcThSb crystal.

Results
**Space-group type**: F-43m
**E_tot**: -4.689 eV per atom

Lattice parameters (Å, degrees): 5.499 5.499 5.499 60.00 60.00 60.00
Fractional positions:
Ac 0.000 0.000 0.000
Sb 0.250 0.250 0.250
Th 0.750 0.750 0.750

---

VASP calculation (PBE) on a relaxed LiLuBeS3 crystal.

Results
**Space-group type**: Cmcm
**E_tot**: -5.242 eV per atom

Lattice parameters (Å, degrees): 6.317 6.317 10.257 90.00 90.00 146.40
Fractional positions:
Be 0.031 0.969 0.250
Be 0.969 0.031 0.750
Li 0.734 0.266 0.250
Li 0.266 0.734 0.750
Lu 0.500 0.500 0.000
Lu 0.500 0.500 0.500
S 0.136 0.864 0.089
S 0.424 0.576 0.250
S 0.136 0.864 0.411
S 0.864 0.136 0.589
S 0.576 0.424 0.750
S 0.864 0.136 0.911

---

VASP calculation (PBE) on a relaxed NbPPbO crystal.

Results
**Space-group type**: P4/nmm
**Energy above the most stable polymorph in this dataset**: 0.956 eV per formula unit

Lattice parameters (Å, degrees): 4.196 4.196 9.819 90.00 90.00 90.00
Fractional positions:
Nb 0.500 0.000 0.500
Nb 0.000 0.500 0.500
O 0.500 0.000 0.000
O 0.000 0.500 0.000
P 0.500 0.500 0.364
P 0.000 0.000 0.636
Pb 0.000 0.000 0.114
Pb 0.500 0.500 0.886

---

VASP calculation (PBE) on a relaxed CsHfTe3Au crystal.

Results
**Space-group type**: Cmcm
**E_tot**: -4.647 eV per atom

Lattice parameters (Å, degrees): 11.087 8.835 8.835 27.43 90.00 90.00
Fractional positions:
Au 0.000 0.460 0.460
Au 0.500 0.540 0.540
Cs 0.500 0.242 0.242
Cs 0.000 0.758 0.758
Hf 0.250 0.000 0.000
Hf 0.750 0.000 0.000
Te 0.000 0.066 0.066
Te 0.215 0.382 0.382
Te 0.785 0.382 0.382
Te 0.285 0.618 0.618
Te 0.715 0.618 0.618
Te 0.500 0.934 0.934

---

VASP calculation (PBE) on a relaxed CuNiPd crystal.

Results
**Space-group type**: F-43m
**Energy above the most stable polymorph in this dataset**: 0.000 eV per formula unit
**Energy relative to the elements**: 351 meV/atom

Lattice parameters (Å, degrees): 3.969 3.969 3.969 60.00 60.00 60.00
Fractional positions:
Cu 0.250 0.250 0.250
Ni 0.000 0.000 0.000
Pd 0.750 0.750 0.750

---

VASP calculation (PBE) on a relaxed LiBiPd2 crystal.

Results
**Space-group type**: P4/mmm
**E_tot**: -4.418 eV per atom

Lattice parameters (Å, degrees): 3.446 3.446 6.043 90.00 90.00 90.00
Fractional positions:
Bi 0.000 0.000 0.000
Li 0.000 0.000 0.500
Pd 0.500 0.500 0.270
Pd 0.500 0.500 0.730

---

VASP calculation (PBE) on a relaxed Dy4PO3 crystal.

Results
**Space-group type**: I4/mmm
**E_tot**: -7.211 eV per atom

Lattice parameters (Å, degrees): 6.139 6.139 6.139 130.99 130.99 71.82
Fractional positions:
Dy 0.238 0.238 0.000
Dy 0.762 0.762 0.000
Dy 0.500 0.000 0.500
Dy 0.000 0.500 0.500
O 0.000 0.000 0.000
O 0.750 0.250 0.500
O 0.250 0.750 0.500
P 0.500 0.500 0.000

---

VASP calculation (PBE) on a relaxed HfCoCuAs crystal.

Results
**Space-group type**: F-43m
**Energy above the most stable polymorph in this dataset**: 0.000 eV per formula unit

Lattice parameters (Å, degrees): 4.348 4.348 4.348 60.00 60.00 60.00
Fractional positions:
As 0.000 0.000 0.000
Co 0.750 0.750 0.750
Cu 0.250 0.250 0.250
Hf 0.500 0.500 0.500

---

VASP calculation (PBE) on a relaxed TbEr2In3AgPd2 crystal.

Results
**Space-group type**: Amm2
**E_tot**: -4.595 eV per atom

Lattice parameters (Å, degrees): 3.769 7.830 7.830 120.08 90.00 90.00
Fractional positions:
Ag 0.500 0.999 0.999
Er 0.500 0.591 0.000
Er 0.500 0.000 0.591
In 0.000 0.999 0.269
In 0.000 0.731 0.731
In 0.000 0.269 0.999
Pd 0.000 0.669 0.332
Pd 0.000 0.332 0.669
Tb 0.500 0.409 0.409

---

VASP calculation (PBE) on a relaxed CsNpSb crystal.

Results
**Space-group type**: F-43m
**E_tot**: -4.907 eV per atom

Lattice parameters (Å, degrees): 5.451 5.451 5.451 60.00 60.00 60.00
Fractional positions:
Cs 0.000 0.000 0.000
Np 0.250 0.250 0.250
Sb 0.750 0.750 0.750

---

VASP calculation (PBE) on a relaxed BeAgBi2 crystal.

Results
**Space-group type**: F-43m
**E_tot**: -3.017 eV per atom

Lattice parameters (Å, degrees): 5.116 5.116 5.116 60.00 60.00 60.00
Fractional positions:
Ag 0.500 0.500 0.500
Be 0.750 0.750 0.750
Bi 0.000 0.000 0.000
Bi 0.250 0.250 0.250

---

VASP calculation (PBE) on a relaxed TmAlAsO crystal.

Results
**Space-group type**: Pmc2_1
**Energy above the most stable polymorph in this dataset**: 0.281 eV per formula unit

Lattice parameters (Å, degrees): 3.982 6.585 5.673 90.00 90.00 90.00
Fractional positions:
Al 0.000 0.917 0.059
Al 0.000 0.083 0.559
As 0.500 0.255 0.402
As 0.500 0.745 0.902
O 0.000 0.843 0.383
O 0.000 0.157 0.883
Tm 0.500 0.682 0.409
Tm 0.500 0.318 0.909

---

VASP calculation (PBE) on a relaxed CoH16C6N2Cl4 crystal.

Results
**Space-group type**: C2/c
**E_tot**: -5.179 eV per atom

Lattice parameters (Å, degrees): 7.045 7.045 13.898 93.29 93.29 115.60
Fractional positions:
C 0.290 0.464 0.025
C 0.587 0.357 0.035
C 0.731 0.315 0.107
C 0.685 0.269 0.393
C 0.643 0.413 0.465
C 0.536 0.710 0.475
C 0.464 0.290 0.525
C 0.357 0.587 0.535
C 0.315 0.731 0.607
C 0.269 0.685 0.893
C 0.413 0.643 0.965
C 0.710 0.536 0.975
Cl 0.179 0.918 0.119
Cl 0.673 0.835 0.222
Cl 0.165 0.327 0.278
Cl 0.082 0.821 0.381
Cl 0.918 0.179 0.619
Cl 0.835 0.673 0.722
Cl 0.327 0.165 0.778
Cl 0.821 0.082 0.881
Co 0.030 0.970 0.250
Co 0.970 0.030 0.750
H 0.512 0.787 0.013
H 0.816 0.681 0.020
H 0.836 0.267 0.067
H 0.197 0.513 0.072
H 0.344 0.280 0.125
H 0.519 0.540 0.142
H 0.640 0.184 0.149
H 0.830 0.456 0.156
H 0.544 0.170 0.344
H 0.816 0.360 0.351
H 0.460 0.481 0.358
H 0.720 0.656 0.375
H 0.487 0.803 0.428
H 0.733 0.164 0.433
H 0.319 0.184 0.480
H 0.213 0.488 0.487
H 0.787 0.512 0.513
H 0.681 0.816 0.520
H 0.267 0.836 0.567
H 0.513 0.197 0.572
H 0.280 0.344 0.625
H 0.540 0.519 0.642
H 0.184 0.640 0.649
H 0.456 0.830 0.656
H 0.170 0.544 0.844
H 0.360 0.816 0.851
H 0.481 0.460 0.858
H 0.656 0.720 0.875
H 0.803 0.487 0.928
H 0.164 0.733 0.933
H 0.184 0.319 0.980
H 0.488 0.213 0.987
N 0.435 0.411 0.089
N 0.589 0.565 0.411
N 0.411 0.435 0.589
N 0.565 0.589 0.911

---

VASP calculation (PBE) on a relaxed AlCuOsW crystal.

Results
**Space-group type**: F-43m
**Energy above the most stable polymorph in this dataset**: 1.445 eV per formula unit

Lattice parameters (Å, degrees): 4.286 4.286 4.286 60.00 60.00 60.00
Fractional positions:
Al 0.250 0.250 0.250
Cu 0.750 0.750 0.750
Os 0.000 0.000 0.000
W 0.500 0.500 0.500

---

VASP calculation (PBE) on a relaxed AcFeTe crystal.

Results
**Space-group type**: F-43m
**Energy above the most stable polymorph in this dataset**: 1.358 eV per formula unit

Lattice parameters (Å, degrees): 5.362 5.362 5.362 60.00 60.00 60.00
Fractional positions:
Ac 0.000 0.000 0.000
Fe 0.250 0.250 0.250
Te 0.750 0.750 0.750

---

VASP calculation (PBE) on a relaxed Zn2SbOs crystal.

Results
**Space-group type**: F-43m
**E_tot**: -3.997 eV per atom

Lattice parameters (Å, degrees): 4.550 4.550 4.550 60.00 60.00 60.00
Fractional positions:
Os 0.250 0.250 0.250
Sb 0.500 0.500 0.500
Zn 0.000 0.000 0.000
Zn 0.750 0.750 0.750

---

VASP calculation (PBE) on a relaxed Y4Sn3Mo2N3 crystal.

Results
**Space-group type**: C2/c
**E_tot**: -7.812 eV per atom

Lattice parameters (Å, degrees): 5.932 5.932 14.756 78.77 78.76 60.01
Fractional positions:
Mo 0.475 0.624 0.078
Mo 0.376 0.525 0.422
Mo 0.624 0.475 0.578
Mo 0.525 0.376 0.922
N 0.500 0.000 0.000
N 0.827 0.336 0.000
N 0.173 0.664 0.000
N 0.664 0.172 0.500
N 0.000 0.500 0.500
N 0.336 0.828 0.500
Sn 0.709 0.584 0.249
Sn 0.125 0.875 0.250
Sn 0.416 0.291 0.251
Sn 0.584 0.709 0.749
Sn 0.875 0.125 0.750
Sn 0.291 0.416 0.751
Y 0.144 0.300 0.090
Y 0.798 0.973 0.090
Y 0.027 0.202 0.410
Y 0.700 0.856 0.410
Y 0.300 0.144 0.590
Y 0.973 0.798 0.590
Y 0.202 0.027 0.910
Y 0.856 0.700 0.910

---

VASP calculation (PBE) on a relaxed AcTlHg crystal.

Results
**Space-group type**: F-43m
**Energy above the most stable polymorph in this dataset**: 0.166 eV per formula unit

Lattice parameters (Å, degrees): 5.224 5.224 5.224 60.00 60.00 60.00
Fractional positions:
Ac 0.250 0.250 0.250
Hg 0.000 0.000 0.000
Tl 0.750 0.750 0.750

---

VASP calculation (PBE) on a relaxed SrTmZnSe3 crystal.

Results
**Space-group type**: Cmcm
**E_tot**: -4.340 eV per atom

Lattice parameters (Å, degrees): 7.343 7.343 10.495 90.00 90.00 147.52
Fractional positions:
Se 0.635 0.365 0.064
Se 0.914 0.086 0.250
Se 0.635 0.365 0.436
Se 0.365 0.635 0.564
Se 0.086 0.914 0.750
Se 0.365 0.635 0.936
Sr 0.238 0.762 0.250
Sr 0.762 0.238 0.750
Tm 0.000 0.000 0.000
Tm 0.000 0.000 0.500
Zn 0.523 0.477 0.250
Zn 0.477 0.523 0.750

---

VASP calculation (PBE) on a relaxed ScCoCuSb crystal.

Results
**Space-group type**: F-43m
**Energy above the most stable polymorph in this dataset**: 0.603 eV per formula unit

Lattice parameters (Å, degrees): 4.493 4.493 4.493 60.00 60.00 60.00
Fractional positions:
Co 0.500 0.500 0.500
Cu 0.750 0.750 0.750
Sb 0.250 0.250 0.250
Sc 0.000 0.000 0.000